No. 1
# Zn2ReHg, optimized geometry, DFT GGA-PBE
# VASP energy ... -3.084 eV per atom
# Calculated formation energy ... 741 meV per atom
data_Zn2ReHg
_chemical_formula_sum 'Zn8 Re4 Hg4'
_cell_length_a 6.412
_cell_length_b 6.412
_cell_length_c 6.412
_cell_angle_alpha 90.00
_cell_angle_beta 90.00
_cell_angle_gamma 90.00
_symmetry_space_group_name_H-M 'F -4 3 m'
_symmetry_Int_Tables_number 216
_symmetry_space_group_name_Hall 'F -4 2 3'
loop_
_atom_site_label
_atom_site_type_symbol
_atom_site_fract_x
_atom_site_fract_y
_atom_site_fract_z
Zn1 Zn 0.000 0.000 0.000
Zn2 Zn 0.250 0.250 0.250
Re1 Re 0.000 0.000 0.500
Hg1 Hg 0.250 0.250 0.750

No. 2
# ZnReHg2, optimized geometry, DFT GGA-PBE
# VASP energy ... -2.646 eV per atom
# Calculated formation energy ... 935 meV per atom
data_ZnReHg2
_chemical_formula_sum 'Zn4 Re4 Hg8'
_cell_length_a 6.619
_cell_length_b 6.619
_cell_length_c 6.619
_cell_angle_alpha 90.00
_cell_angle_beta 90.00
_cell_angle_gamma 90.00
_symmetry_space_group_name_H-M 'F -4 3 m'
_symmetry_Int_Tables_number 216
_symmetry_space_group_name_Hall 'F -4 2 3'
loop_
_atom_site_label
_atom_site_type_symbol
_atom_site_fract_x
_atom_site_fract_y
_atom_site_fract_z
Zn1 Zn 0.000 0.000 0.000
Re1 Re 0.250 0.250 0.250
Hg1 Hg 0.000 0.000 0.500
Hg2 Hg 0.250 0.250 0.750

No. 3
# Zn2ReHg, optimized geometry, DFT GGA-PBE
# VASP energy ... -3.396 eV per atom
# Calculated formation energy ... 428 meV per atom
data_Zn2ReHg
_chemical_formula_sum 'Zn4 Re2 Hg2'
_cell_length_a 9.268
_cell_length_b 2.798
_cell_length_c 5.173
_cell_angle_alpha 90.00
_cell_angle_beta 99.52
_cell_angle_gamma 90.00
_symmetry_space_group_name_H-M 'C 1 2/m 1'
_symmetry_Int_Tables_number 12
loop_
_symmetry_equiv_pos_as_xyz
'x,y,z'
'-x,-y,-z'
'-x,y,-z'
'x,-y,z'
'x+1/2,y+1/2,z'
'-x+1/2,-y+1/2,-z'
'-x+1/2,y+1/2,-z'
'x+1/2,-y+1/2,z'
loop_
_atom_site_label
_atom_site_type_symbol
_atom_site_fract_x
_atom_site_fract_y
_atom_site_fract_z
Zn1 Zn 0.242 0.000 0.213
Re1 Re 0.000 0.500 0.000
Hg1 Hg 0.000 0.000 0.500